SrNiO GGA+U relaxed; space-group type = P6_3/mmc (194); Fermi-level density of states = 0.91 states/eV/f.u.; raw total energy = -4.152 eV per atom
1.0
-4.196 -0.267 0.707
2.747 -1.595 2.844
0.184 6.945 3.716
Sr O Ni
2 2 2
Direct
0.333 0.667 0.250
0.667 0.333 0.750
0.000 0.000 0.250
0.000 0.000 0.750
0.000 0.000 0.000
0.000 0.000 0.500